The following is a PBE calculation of an optimized crystal structure of CaThIn2Se4, from the Alexandria database.

Properties
The magnetization comes out at 0.00 μB per cell. As for the energy relative to the elements, uncorrected: -1.242 eV per atom. The calculated total energy is -4.85 eV/atom.

a = 7.354 Å, b = 4.313 Å, c = 8.118 Å
α = 90.00°, β = 107.79°, γ = 90.00°
Fractional coordinates of all 8 atoms:
1 Ca 0.000 0.000 0.000
2 Th 0.500 0.500 0.000
3 In 0.000 0.500 0.500
4 In 0.500 0.000 0.500
5 Se 0.247 0.500 0.211
6 Se 0.270 0.000 0.787
7 Se 0.730 0.000 0.213
8 Se 0.753 0.500 0.789


The following is a PBE calculation of an optimized crystal structure of CaTiInSe2, from the Alexandria database.

Properties
The magnetization comes out at 2.34 μB per cell. As for the energy relative to the elements, uncorrected: 0.194 eV per atom. The calculated total energy is -3.73 eV/atom.

a = 5.459 Å, b = 5.459 Å, c = 5.152 Å
α = 90.00°, β = 90.00°, γ = 90.00°
Fractional coordinates of all 5 atoms:
1 Ca 0.000 0.000 0.000
2 Ti 0.500 0.500 0.000
3 In 0.500 0.500 0.500
4 Se 0.000 0.500 0.500
5 Se 0.500 0.000 0.500


The following is a PBE calculation of an optimized crystal structure of CaUIn2Se4, from the Alexandria database.

Properties
The magnetization comes out at 2.00 μB per cell. As for the energy relative to the elements, uncorrected: -1.026 eV per atom. The calculated total energy is -5.11 eV/atom.

a = 7.245 Å, b = 4.210 Å, c = 8.077 Å
α = 90.00°, β = 107.35°, γ = 90.00°
Fractional coordinates of all 8 atoms:
1 Ca 0.000 0.000 0.000
2 U 0.500 0.500 0.000
3 In 0.000 0.500 0.500
4 In 0.500 0.000 0.500
5 Se 0.254 0.500 0.210
6 Se 0.277 0.000 0.791
7 Se 0.723 0.000 0.209
8 Se 0.746 0.500 0.790


The following is a PBE calculation of an optimized crystal structure of CaYbInSe4, from the Alexandria database.

Properties
The magnetization comes out at 2.37 μB per cell. As for the energy relative to the elements, uncorrected: -1.285 eV per atom. The calculated total energy is -4.17 eV/atom.

a = 14.509 Å, b = 8.381 Å, c = 6.949 Å
α = 90.00°, β = 90.00°, γ = 90.00°
Fractional coordinates of all 28 atoms:
1 Ca 0.233 0.250 0.006
2 Ca 0.267 0.750 0.506
3 Ca 0.733 0.250 0.494
4 Ca 0.767 0.750 0.994
5 Yb 0.000 0.000 0.500
6 Yb 0.000 0.500 0.500
7 Yb 0.500 0.000 0.000
8 Yb 0.500 0.500 0.000
9 In 0.091 0.750 0.092
10 In 0.409 0.250 0.592
11 In 0.591 0.750 0.408
12 In 0.909 0.250 0.908
13 Se 0.074 0.250 0.742
14 Se 0.089 0.750 0.720
15 Se 0.167 0.507 0.267
16 Se 0.167 0.993 0.267
17 Se 0.333 0.007 0.767
18 Se 0.333 0.493 0.767
19 Se 0.411 0.250 0.220
20 Se 0.426 0.750 0.242
21 Se 0.574 0.250 0.758
22 Se 0.589 0.750 0.780
23 Se 0.667 0.507 0.233
24 Se 0.667 0.993 0.233
25 Se 0.833 0.007 0.733
26 Se 0.833 0.493 0.733
27 Se 0.911 0.250 0.280
28 Se 0.926 0.750 0.258


The following is a PBE calculation of an optimized crystal structure of CaIn2Si, from the Alexandria database.

Properties
The magnetization comes out at 0.00 μB per cell. As for the energy relative to the elements, uncorrected: -0.113 eV per atom. The calculated total energy is -3.34 eV/atom.

a = 5.842 Å, b = 5.842 Å, c = 5.842 Å
α = 135.86°, β = 135.86°, γ = 64.19°
Fractional coordinates of all 4 atoms:
1 Ca 0.000 0.000 0.000
2 In 0.250 0.750 0.500
3 In 0.750 0.250 0.500
4 Si 0.500 0.500 0.000


The following is a PBE calculation of an optimized crystal structure of Ca4InSi, from the Alexandria database.

Properties
The energy above the most stable polymorph in this dataset is 799 meV/atom. The magnetization comes out at 0.14 μB per cell. As for the energy relative to the elements, uncorrected: 0.418 eV per atom. The calculated total energy is -2.28 eV/atom.

a = 6.497 Å, b = 6.497 Å, c = 6.497 Å
α = 60.00°, β = 60.00°, γ = 60.00°
Fractional coordinates of all 6 atoms:
1 Ca 0.125 0.125 0.125
2 Ca 0.125 0.125 0.626
3 Ca 0.125 0.626 0.125
4 Ca 0.626 0.125 0.125
5 In 0.500 0.500 0.500
6 Si 0.750 0.750 0.750


The following is a PBE calculation of an optimized crystal structure of CaIn2Si, from the Alexandria database.

Properties
The magnetization comes out at 0.00 μB per cell. As for the energy relative to the elements, uncorrected: -0.060 eV per atom. The calculated total energy is -3.29 eV/atom.

a = 3.692 Å, b = 3.692 Å, c = 7.185 Å
α = 90.00°, β = 90.00°, γ = 90.00°
Fractional coordinates of all 4 atoms:
1 Ca 0.000 0.000 0.000
2 In 0.500 0.500 0.293
3 In 0.500 0.500 0.707
4 Si 0.000 0.000 0.500


The following is a PBE calculation of an optimized crystal structure of CaIn2Si, from the Alexandria database.

Properties
The magnetization comes out at 0.00 μB per cell. As for the energy relative to the elements, uncorrected: -0.121 eV per atom. The calculated total energy is -3.35 eV/atom.

a = 6.323 Å, b = 6.323 Å, c = 6.323 Å
α = 147.31°, β = 132.77°, γ = 58.62°
Fractional coordinates of all 4 atoms:
1 Ca 0.000 0.000 0.000
2 In 0.288 0.788 0.500
3 In 0.712 0.212 0.500
4 Si 0.500 0.500 0.000